# NaCd3In6 | Alexandria via LeMat-Bulk | PBE | optimized geometry
data_NaCd3In6
_symmetry_space_group_name_H-M 'C m c 21'
_symmetry_Int_Tables_number 36
_symmetry_space_group_name_Hall 'C 2c -2'
_cell_length_a 9.999
_cell_length_b 14.326
_cell_length_c 7.642
_cell_angle_alpha 90.00
_cell_angle_beta 90.00
_cell_angle_gamma 90.00
loop_
_atom_site_label
_atom_site_type_symbol
_atom_site_fract_x
_atom_site_fract_y
_atom_site_fract_z
Na1 Na 0.000 0.241 0.000
Cd1 Cd 0.000 0.456 0.238
Cd2 Cd 0.155 0.143 0.352
In1 In 0.000 0.039 0.751
In2 In 0.000 0.309 0.570
In3 In 0.235 0.464 0.539
In4 In 0.247 0.174 0.726
# E above lowest polymorph	0.014	eV per atom
# calculated density	6.4	g/cm³
# total DFT energy (no corrections)	-2.0309	eV per atom
# DOS at the Fermi energy	3.5	states/eV/f.u.
# M_tot	0.000	μB per atom



# NaCdIn | Alexandria via LeMat-Bulk | PBE | optimized geometry
data_NaCdIn
_symmetry_space_group_name_H-M 'P -1'
_symmetry_Int_Tables_number 2
_symmetry_space_group_name_Hall '-P 1'
_cell_length_a 4.713
_cell_length_b 5.398
_cell_length_c 6.834
_cell_angle_alpha 103.82
_cell_angle_beta 90.26
_cell_angle_gamma 114.81
loop_
_atom_site_label
_atom_site_type_symbol
_atom_site_fract_x
_atom_site_fract_y
_atom_site_fract_z
Na1 Na 0.172 0.342 0.091
Cd1 Cd 0.160 0.324 0.588
In1 In 0.485 0.976 0.736
# E above lowest polymorph	0.041	eV per atom
# calculated density	5.5	g/cm³
# total DFT energy (no corrections)	-1.7417	eV per atom
# DOS at the Fermi energy	0.8	states/eV/f.u.
# M_tot	0.000	μB per atom



# Na2Cd2In | Alexandria via LeMat-Bulk | PBE | optimized geometry
data_Na2Cd2In
_symmetry_space_group_name_H-M 'C 1 2/m 1'
_symmetry_Int_Tables_number 12
_symmetry_space_group_name_Hall '-C 2y'
_cell_length_a 8.848
_cell_length_b 5.189
_cell_length_c 6.091
_cell_angle_alpha 90.00
_cell_angle_beta 117.93
_cell_angle_gamma 90.00
loop_
_atom_site_label
_atom_site_type_symbol
_atom_site_fract_x
_atom_site_fract_y
_atom_site_fract_z
Na1 Na 0.205 0.000 0.118
Cd1 Cd 0.097 0.500 0.290
In1 In 0.000 0.000 0.500
# E above lowest polymorph	0.000	eV per atom
# calculated density	5.2	g/cm³
# total DFT energy (no corrections)	-1.5428	eV per atom
# DOS at the Fermi energy	1.9	states/eV/f.u.
# M_tot	0.000	μB per atom



# NaCd4In6 | Alexandria via LeMat-Bulk | PBE | optimized geometry
data_NaCd4In6
_symmetry_space_group_name_H-M 'P -6 m 2'
_symmetry_Int_Tables_number 187
_symmetry_space_group_name_Hall 'P -6 2'
_cell_length_a 8.6426
_cell_length_b 8.6426
_cell_length_c 4.6690
_cell_angle_alpha 90.00
_cell_angle_beta 90.00
_cell_angle_gamma 120.00
loop_
_atom_site_label
_atom_site_type_symbol
_atom_site_fract_x
_atom_site_fract_y
_atom_site_fract_z
Na1 Na 0.0000 0.0000 0.0000
Cd1 Cd 0.3333 0.6667 0.0000
Cd2 Cd 0.4031 0.2016 0.5000
In1 In 0.1957 0.3914 0.5000
In2 In 0.5320 0.0640 0.0000
# E above lowest polymorph	0.000	eV per atom
# calculated density	6.4	g/cm³
# total DFT energy (no corrections)	-1.9411	eV per atom
# DOS at the Fermi energy	4.1	states/eV/f.u.
# M_tot	0.000	μB per atom



E_form for every record listed, in sequence, given in eV/atom: 0.019 -0.084 -0.101 0.005.